## Y2Si3Mo2 (PBE)

Data for Y2Si3Mo2 after structural relaxation.

Calculated values
The theoretical density is 5.3 Mg/m³. As for the size of the total moment: 0.00 μB/atom. The electronic total energy comes out at -52.21 eV for the cell shown. Its symmetry is C2/m.

extended XYZ file:
```
7
Lattice="6.885 -1.858 0.000 6.885 1.858 0.000 -1.862 0.000 5.549" Properties=species:S:1:pos:R:3 pbc="T T T"
Y 0.786 0.000 1.499
Y 11.122 0.000 4.050
Si 2.018 0.000 4.028
Si 5.954 0.000 2.774
Si 9.890 0.000 1.521
Mo 4.464 0.000 0.874
Mo 7.444 0.000 4.675
```